## w
Here is a relaxed structure of NbCo4Ni from the Alexandria database. Energies are from PBE.

Calculated values
crystal system	hexagonal
symmetry	P6/mmm, No. 191
total magnetization	4.156	μB per formula unit

Cell lengths 4.021, 4.021, 5.135 Å; angles 90.00, 90.00, 120.00 degrees
Atoms (fractional coordinates):
1 Nb 0.000 0.000 0.000
2 Co 0.333 0.667 0.268
3 Co 0.333 0.667 0.732
4 Co 0.667 0.333 0.268
5 Co 0.667 0.333 0.732
6 Ni 0.000 0.000 0.500

## x
Here is a relaxed structure of NbCo4Ni from the Alexandria database. Energies are from PBE.

Calculated values
crystal system	cubic
symmetry	F-43m, No. 216
total magnetization	4.579	μB per formula unit

Cell lengths 4.677, 4.677, 4.677 Å; angles 60.00, 60.00, 60.00 degrees
Atoms (fractional coordinates):
1 Nb 0.000 0.000 0.000
2 Co 0.376 0.376 0.376
3 Co 0.376 0.376 0.873
4 Co 0.376 0.873 0.376
5 Co 0.873 0.376 0.376
6 Ni 0.750 0.750 0.750

It is w that is the least stable of them.

## w
Here is a relaxed structure of Nb3CoNi from the Alexandria database. Energies are from PBE.

Calculated values
crystal system	cubic
symmetry	Pm-3m, No. 221
total magnetization	0.000	μB per formula unit

Cell lengths 4.560, 4.560, 4.560 Å; angles 90.00, 90.00, 90.00 degrees
Atoms (fractional coordinates):
1 Nb 0.000 0.000 0.500
2 Nb 0.000 0.500 0.000
3 Nb 0.500 0.000 0.000
4 Co 0.500 0.500 0.500
5 Ni 0.000 0.000 0.000

## x
Here is a relaxed structure of Nb3CoNi from the Alexandria database. Energies are from PBE.

Calculated values
crystal system	cubic
symmetry	Pm-3m, No. 221
total magnetization	0.000	μB per formula unit

Cell lengths 4.544, 4.544, 4.544 Å; angles 90.00, 90.00, 90.00 degrees
Atoms (fractional coordinates):
1 Nb 0.000 0.000 0.500
2 Nb 0.000 0.500 0.000
3 Nb 0.500 0.000 0.000
4 Co 0.000 0.000 0.000
5 Ni 0.500 0.500 0.500

It is w that is the least stable of them.

## w
Here is a relaxed structure of NbCo2Ni2 from the Alexandria database. Energies are from PBE.

Calculated values
crystal system	tetragonal
symmetry	I4/mmm, No. 139
total magnetization	3.146	μB per formula unit

Cell lengths 6.154, 6.154, 6.154 Å; angles 148.19, 148.19, 45.61 degrees
Atoms (fractional coordinates):
1 Nb 0.000 0.000 0.000
2 Co 0.250 0.750 0.500
3 Co 0.750 0.250 0.500
4 Ni 0.399 0.399 0.000
5 Ni 0.601 0.601 0.000

## x
Here is a relaxed structure of NbCo2Ni2 from the Alexandria database. Energies are from PBE.

Calculated values
crystal system	monoclinic
symmetry	C2/m, No. 12
total magnetization	2.101	μB per formula unit

Cell lengths 4.445, 4.445, 4.668 Å; angles 93.04, 93.04, 46.90 degrees
Atoms (fractional coordinates):
1 Nb 0.000 0.000 0.000
2 Co 0.306 0.306 0.154
3 Co 0.694 0.694 0.846
4 Ni 0.371 0.371 0.636
5 Ni 0.629 0.629 0.364

It is x that is the least stable of them.